LiFeP4O12 | PBE+U | optimized geometry

Properties
Its calculated volume is 235 Å³/f.u. The energy relative to the lowest polymorph listed for this composition comes out at 44 meV per atom. Its density is 2.68 Mg/m³.

abc: 15.4384 7.3643 9.7271
angles: 90.00 121.90 90.00
Space group C2/c (No. 15)
One atom of each set of equivalent atoms:
Li: 0.0000 0.1939 0.2500
Fe: 0.0000 0.3616 0.7500
P: 0.1318 0.0805 0.6406
P: 0.1348 0.3312 0.1593
O: 0.0680 0.4199 0.2102
O: 0.0809 0.0886 0.4626
O: 0.0959 0.1992 0.7270
O: 0.1085 0.3569 0.9886
O: 0.1353 0.1227 0.2064
O: 0.2481 0.3903 0.2841